Computed, not measured: ScBAs2Se after structural relaxation at the PBE level of DFT.

Calculated values
The value obtained for the size of the total moment is 0.0 μB per cell. The formation energy without anion corrections comes out at 0.963 eV per atom. The uncorrected energy comes out at -20.979 eV per cell. As for the space-group type: P4/mmm. Its energy above the most stable polymorph in this dataset is 70.3 kJ per mole of atoms.

Lattice parameters (Å, degrees): 5.108 5.108 5.104 90.00 90.00 90.00
Atoms (fractional coordinates):
B1 0.500 0.500 0.500
As1 0.500 0.000 0.000
As2 0.000 0.500 0.000
Sc1 0.000 0.000 0.000
Se1 0.000 0.000 0.500